Record 1
This record from the Alexandria database describes a relaxed structure of Re4TcSe8. The functional is GGA-PBE.

a b c (Å): 6.3846 6.3846 21.5850
angles (deg): 90.00 90.00 120.00
Space group R-3m (No. 166, hexagonal axes)
Inequivalent atoms, fractional coordinates:
Re (0.0000, 0.0000, 0.0000) x3
Re (0.0000, 0.5000, 0.0000) x9
Tc (0.0000, 0.0000, 0.5000) x3
Se (0.0000, 0.0000, 0.2516) x6
Se (0.0071, 0.5035, 0.2495) x18

---

Record 2
This record from the Alexandria database describes a relaxed structure of ReTcSe2. The functional is GGA-PBE.

a b c (Å): 6.3972 6.3972 6.3972
angles (deg): 90.00 90.00 90.00
Space group F-43m (No. 216)
Inequivalent atoms, fractional coordinates:
Re (0.0000, 0.0000, 0.0000) x4
Tc (0.2500, 0.2500, 0.7500) x4
Se (0.0000, 0.0000, 0.5000) x4
Se (0.2500, 0.2500, 0.2500) x4

Results
Polymorph energy (0 for the lowest one): 0.969 eV/atom

---

Record 3
This record from the Alexandria database describes a relaxed structure of ReTcSe2. The functional is GGA-PBE.

a b c (Å): 3.0575 4.3976 9.5398
angles (deg): 90.00 90.00 90.00
Space group Imm2 (No. 44)
Inequivalent atoms, fractional coordinates:
Re (0.0000, 0.0000, 0.0000) x2
Tc (0.0000, 0.5000, 0.7785) x2
Se (0.0000, 0.0000, 0.5026) x2
Se (0.0000, 0.5000, 0.2805) x2

Results
Polymorph energy (0 for the lowest one): 0.564 eV/atom

---

Record 4
This record from the Alexandria database describes a relaxed structure of ReTcSe2. The functional is GGA-PBE.

a b c (Å): 3.0045 4.0770 5.4992
angles (deg): 90.00 90.00 90.00
Space group Pmmm (No. 47)
Inequivalent atoms, fractional coordinates:
Re (0.0000, 0.0000, 0.0000) x1
Tc (0.5000, 0.0000, 0.5000) x1
Se (0.0000, 0.5000, 0.5000) x1
Se (0.5000, 0.5000, 0.0000) x1

Results
Polymorph energy (0 for the lowest one): 0.913 eV/atom

---

no.,magnetization (Bohr magnetons per cell),uncorrected formation energy (eV/atom)
1,0.1,0.201
2,0.0,0.909
3,0.0,0.504
4,0.0,0.853